[1]
A geometry-optimized MgScRe structure, computed with PBE.

Lattice parameters (Å, degrees): 6.446 6.446 6.446 90.00 90.00 90.00
Space group F-43m (No. 216)
Inequivalent atoms, fractional coordinates:
Mg  0.000  0.000  0.000 (multiplicity 4)
Sc  0.250  0.250  0.750 (multiplicity 4)
Re  0.000  0.000  0.500 (multiplicity 4)

- DOS at the Fermi energy (states/eV/cell) = 20.034
- magnetic moment (μB per atom) = 0.545
- total energy (eV/cell) = -67.53
- distance to the lowest polymorph of the same formula (meV per atom) = 1021

=====

[2]
A geometry-optimized MgScRe3 structure, computed with PBE.

Lattice parameters (Å, degrees): 4.541 4.541 4.541 90.00 90.00 90.00
Space group Pm-3m (No. 221)
Inequivalent atoms, fractional coordinates:
Mg  0.000  0.000  0.000 (multiplicity 1)
Sc  0.500  0.500  0.500 (multiplicity 1)
Re  0.000  0.000  0.500 (multiplicity 3)

- DOS at the Fermi energy (states/eV/cell) = 5.888
- magnetic moment (μB per atom) = 0.000
- total energy (eV/cell) = -35.41
- distance to the lowest polymorph of the same formula (meV per atom) = 0

=====

[3]
A geometry-optimized Mg2ScRe structure, computed with PBE.

Lattice parameters (Å, degrees): 9.614 2.853 5.488 90.00 95.43 90.00
Space group Cm (No. 8)
Inequivalent atoms, fractional coordinates:
Mg  0.000  0.000  0.000 (multiplicity 2)
Mg  0.246  0.000  0.761 (multiplicity 2)
Sc  0.260  0.500  0.294 (multiplicity 2)
Re  0.003  0.500  0.497 (multiplicity 2)

- DOS at the Fermi energy (states/eV/cell) = 5.254
- magnetic moment (μB per atom) = 0.000
- total energy (eV/cell) = -42.23
- distance to the lowest polymorph of the same formula (meV per atom) = 76

=====

[4]
A geometry-optimized Mg2ScRe structure, computed with PBE.

Lattice parameters (Å, degrees): 4.039 4.039 4.549 90.00 90.00 90.00
Space group P4/mmm (No. 123)
Inequivalent atoms, fractional coordinates:
Mg  0.000  0.500  0.000 (multiplicity 2)
Sc  0.000  0.000  0.500 (multiplicity 1)
Re  0.500  0.500  0.500 (multiplicity 1)

- DOS at the Fermi energy (states/eV/cell) = 2.628
- magnetic moment (μB per atom) = 0.038
- total energy (eV/cell) = -21.06
- distance to the lowest polymorph of the same formula (meV per atom) = 89

=====

[5]
A geometry-optimized MgScRe structure, computed with PBE.

Lattice parameters (Å, degrees): 3.361 4.643 14.188 90.00 90.00 90.00
Space group Fmm2 (No. 42)
Inequivalent atoms, fractional coordinates:
Mg  0.000  0.000  0.000 (multiplicity 4)
Sc  0.000  0.000  0.694 (multiplicity 4)
Re  0.000  0.000  0.343 (multiplicity 4)

- DOS at the Fermi energy (states/eV/cell) = 13.116
- magnetic moment (μB per atom) = 0.000
- total energy (eV/cell) = -79.37
- distance to the lowest polymorph of the same formula (meV per atom) = 35

=====

[6]
A geometry-optimized Mg2ScRe structure, computed with PBE.

Lattice parameters (Å, degrees): 6.666 6.666 6.666 90.00 90.00 90.00
Space group F-43m (No. 216)
Inequivalent atoms, fractional coordinates:
Mg  0.000  0.000  0.000 (multiplicity 4)
Mg  0.250  0.250  0.250 (multiplicity 4)
Sc  0.250  0.250  0.750 (multiplicity 4)
Re  0.000  0.000  0.500 (multiplicity 4)

- DOS at the Fermi energy (states/eV/cell) = 7.438
- magnetic moment (μB per atom) = 0.000
- total energy (eV/cell) = -84.24
- distance to the lowest polymorph of the same formula (meV per atom) = 90

=====

[7]
A geometry-optimized MgScRe2 structure, computed with PBE.

Lattice parameters (Å, degrees): 3.101 3.101 7.422 90.00 90.00 90.00
Space group P4mm (No. 99)
Inequivalent atoms, fractional coordinates:
Mg  0.000  0.000  0.000 (multiplicity 1)
Sc  0.500  0.500  0.683 (multiplicity 1)
Re  0.000  0.000  0.433 (multiplicity 1)
Re  0.500  0.500  0.240 (multiplicity 1)

- DOS at the Fermi energy (states/eV/cell) = 2.289
- magnetic moment (μB per atom) = 0.000
- total energy (eV/cell) = -32.93

=====

[8]
A geometry-optimized MgScRe structure, computed with PBE.

Lattice parameters (Å, degrees): 2.832 2.832 13.899 90.00 90.00 90.00
Space group I4mm (No. 107)
Inequivalent atoms, fractional coordinates:
Mg  0.000  0.000  0.000 (multiplicity 2)
Sc  0.000  0.000  0.693 (multiplicity 2)
Re  0.000  0.000  0.346 (multiplicity 2)

- DOS at the Fermi energy (states/eV/cell) = 5.639
- magnetic moment (μB per atom) = 0.000
- total energy (eV/cell) = -39.37
- distance to the lowest polymorph of the same formula (meV per atom) = 87

=====

[9]
A geometry-optimized MgScRe2 structure, computed with PBE.

Lattice parameters (Å, degrees): 5.503 9.080 2.685 90.00 90.00 90.00
Space group Cmmm (No. 65)
Inequivalent atoms, fractional coordinates:
Mg  0.000  0.000  0.000 (multiplicity 2)
Sc  0.000  0.500  0.000 (multiplicity 2)
Re  0.250  0.250  0.500 (multiplicity 4)

- DOS at the Fermi energy (states/eV/cell) = 7.231
- magnetic moment (μB per atom) = 0.000
- total energy (eV/cell) = -63.35

=====

[10]
A geometry-optimized Mg2ScRe structure, computed with PBE.

Lattice parameters (Å, degrees): 3.303 4.544 4.951 90.00 90.00 90.00
Space group Pmmm (No. 47)
Inequivalent atoms, fractional coordinates:
Mg  0.000  0.000  0.000 (multiplicity 1)
Mg  0.500  0.500  0.000 (multiplicity 1)
Sc  0.000  0.500  0.500 (multiplicity 1)
Re  0.500  0.000  0.500 (multiplicity 1)

- DOS at the Fermi energy (states/eV/cell) = 3.212
- magnetic moment (μB per atom) = 0.000
- total energy (eV/cell) = -21.02
- distance to the lowest polymorph of the same formula (meV per atom) = 101

=====

[11]
A geometry-optimized Mg2ScRe structure, computed with PBE.

Lattice parameters (Å, degrees): 3.312 3.312 7.243 90.00 90.00 90.00
Space group P4mm (No. 99)
Inequivalent atoms, fractional coordinates:
Mg  0.000  0.000  0.000 (multiplicity 1)
Mg  0.500  0.500  0.273 (multiplicity 1)
Sc  0.500  0.500  0.687 (multiplicity 1)
Re  0.000  0.000  0.489 (multiplicity 1)

- DOS at the Fermi energy (states/eV/cell) = 3.083
- magnetic moment (μB per atom) = 0.000
- total energy (eV/cell) = -21.29
- distance to the lowest polymorph of the same formula (meV per atom) = 33

=====

[12]
A geometry-optimized MgScRe2 structure, computed with PBE.

Lattice parameters (Å, degrees): 2.846 4.409 5.599 90.00 103.43 90.00
Space group Pm (No. 6)
Inequivalent atoms, fractional coordinates:
Mg  0.000  0.000  0.000 (multiplicity 1)
Sc  0.300  0.500  0.737 (multiplicity 1)
Re  0.596  0.000  0.465 (multiplicity 1)
Re  0.798  0.500  0.271 (multiplicity 1)

- DOS at the Fermi energy (states/eV/cell) = 3.842
- magnetic moment (μB per atom) = 0.000
- total energy (eV/cell) = -32.34